No. 1
{"formula": "Li9I3N2", "functional": "PBE", "state": "relaxed", "magmom_total_mub_per_fu": 0.0, "e_tot_ev_per_atom": -3.378, "formation_energy_uncorrected_kcal_per_mol_atoms": -14.4, "cell": [[-5.3020, 0.4027, -6.2071], [-4.3105, -6.2407, 3.0455], [-4.7909, 5.1251, 4.1932]], "species": ["Li", "Li", "Li", "Li", "Li", "Li", "N", "I", "Li", "I", "Li", "Li", "Li", "I", "Li", "Li", "N", "I", "N", "Li", "I", "Li", "Li", "I", "Li", "N", "Li", "Li"], "frac_coords": [[0.5485, 0.4250, 0.2552], [0.5750, 0.7448, 0.4515], [0.1333, 0.2500, 0.3667], [0.7448, 0.4515, 0.5750], [0.4515, 0.5750, 0.7448], [0.3667, 0.1333, 0.2500], [0.6469, 0.6469, 0.6469], [0.7500, 0.0838, 0.4162], [0.0750, 0.9515, 0.2448], [0.0838, 0.4162, 0.7500], [0.8667, 0.7500, 0.6333], [0.6333, 0.8667, 0.7500], [0.0485, 0.7552, 0.9250], [0.9162, 0.5838, 0.2500], [0.4250, 0.2552, 0.5485], [0.2552, 0.5485, 0.4250], [0.3531, 0.3531, 0.3531], [0.2500, 0.9162, 0.5838], [0.1469, 0.1469, 0.1469], [0.2500, 0.3667, 0.1333], [0.4162, 0.7500, 0.0838], [0.9515, 0.2448, 0.0750], [0.2448, 0.0750, 0.9515], [0.5838, 0.2500, 0.9162], [0.7552, 0.9250, 0.0485], [0.8531, 0.8531, 0.8531], [0.9250, 0.0485, 0.7552], [0.7500, 0.6333, 0.8667]]}

No. 2
{"formula": "ZnHgTe2", "functional": "PBE", "state": "relaxed", "magmom_total_mub_per_fu": 0.0, "e_tot_ev_per_atom": -1.882, "formation_energy_uncorrected_kcal_per_mol_atoms": 1.9, "cell": [[3.3683, 0.0004, 0.0000], [-1.1286, 3.1735, 0.0000], [0.0000, 0.0000, 10.6480]], "species": ["Te", "Zn", "Te", "Hg"], "frac_coords": [[0.0000, 0.0000, 0.4419], [0.5000, 0.5000, 0.2500], [0.0000, 0.0000, 0.0581], [0.5000, 0.5000, 0.7500]]}

No. 3
{"formula": "Tc2SnHRu", "functional": "PBE", "state": "relaxed", "magmom_total_mub_per_fu": 0.0, "e_tot_ev_per_atom": -7.261, "cell": [[-3.6185, 1.4854, 0.4716], [-1.5407, -3.5891, -0.5167], [0.2510, -0.7046, 4.1456]], "species": ["H", "Sn", "Tc", "Tc", "Ru"], "frac_coords": [[0.0000, 0.0000, 0.0000], [0.5000, 0.5000, 0.5000], [0.0000, 0.5000, 0.0000], [0.5000, 0.0000, 0.0000], [0.0000, 0.0000, 0.5000]]}

No. 4
{"formula": "Na4BiO", "functional": "PBE", "state": "relaxed", "magmom_total_mub_per_fu": 0.0, "e_tot_ev_per_atom": -3.040, "formation_energy_uncorrected_kcal_per_mol_atoms": -15.9, "cell": [[-0.5602, -2.4023, -5.8396], [-4.1728, -4.4742, 2.2409], [-3.1468, 7.7673, 0.1765]], "species": ["Na", "Bi", "O", "Na", "Na", "Na", "Bi", "Na", "Na", "Na", "O", "Na"], "frac_coords": [[0.0000, 0.2794, 0.0000], [0.9503, 0.7899, 0.5797], [0.3061, 0.5384, 0.0767], [0.6806, 0.3109, 0.6219], [0.0000, 0.7206, 0.0000], [0.6336, 0.7935, 0.1815], [0.0497, 0.2101, 0.4203], [0.3194, 0.6891, 0.3781], [0.6336, 0.3880, 0.1815], [0.3664, 0.2065, 0.8185], [0.6939, 0.4616, 0.9233], [0.3664, 0.6120, 0.8185]]}